Record 1
Co2Te2Cl | GGA-PBEsol | optimized geometry

Total magnetic moment in μB/f.u.: 0.0
Total DFT energy (no corrections) in eV per atom: -5.1761
Volume in Å³/f.u.: 98.5
ρ in Mg/m³: 6.89
Formation energy without anion corrections in eV per atom: -0.27
DOS at the Fermi energy in states/eV/f.u.: 1.62

The structure in POSCAR format:
```
Co2Te2Cl
1.0
-1.8230 1.8230 7.4104
1.8230 -1.8230 7.4104
1.8230 1.8230 -7.4104
Co Te Cl
2 2 1
Cartesian
1.8230 0.0000 3.7052
0.0000 1.8230 3.7052
0.0000 0.0000 2.0732
0.0000 0.0000 12.7476
0.0000 0.0000 7.4104
```



Record 2
CoTe2Cl | GGA-PBEsol | optimized geometry

Total magnetic moment in μB/f.u.: 0.0
Total DFT energy (no corrections) in eV per atom: -4.0990
Volume in Å³/f.u.: 90.2
ρ in Mg/m³: 6.44
Energy relative to the lowest polymorph listed for this composition in meV/atom: 401
Formation energy without anion corrections in eV per atom: 0.10
DOS at the Fermi energy in states/eV/f.u.: 3.66

The structure in POSCAR format:
```
CoTe2Cl
1.0
3.0769 0.0000 0.0000
0.0000 3.0769 0.0000
0.0000 0.0000 9.5249
Co Te Cl
1 2 1
Cartesian
0.0000 0.0000 0.0000
0.0000 0.0000 4.6348
1.5385 1.5385 1.3754
1.5385 1.5385 7.9661
```



Record 3
Zr2CoTeCl | GGA-PBEsol | optimized geometry

Total magnetic moment in μB/f.u.: 2.2
Total DFT energy (no corrections) in eV per atom: -5.0123
Volume in Å³/f.u.: 146.0
ρ in Mg/m³: 4.60
Formation energy without anion corrections in eV per atom: 1.28
DOS at the Fermi energy in states/eV/f.u.: 7.45

The structure in POSCAR format:
```
Zr2CoTeCl
1.0
5.2752 0.0000 0.0000
0.0000 5.2752 0.0000
0.0000 0.0000 5.2453
Zr Co Te Cl
2 1 1 1
Cartesian
0.0000 2.6376 0.0000
2.6376 0.0000 0.0000
0.0000 0.0000 2.6227
2.6376 2.6376 0.0000
2.6376 2.6376 2.6227
```



Record 4
Ti2CoCl | GGA-PBEsol | optimized geometry

Total magnetic moment in μB/f.u.: 0.0
Total DFT energy (no corrections) in eV per atom: -6.6190
Volume in Å³/f.u.: 54.6
ρ in Mg/m³: 5.78
Formation energy without anion corrections in eV per atom: -0.02
DOS at the Fermi energy in states/eV/f.u.: 5.23

The structure in POSCAR format:
```
Ti2CoCl
1.0
0.0000 3.0114 3.0114
3.0114 0.0000 3.0114
3.0114 3.0114 0.0000
Ti Co Cl
2 1 1
Cartesian
1.5057 1.5057 1.5057
4.5170 4.5170 4.5170
0.0000 0.0000 0.0000
3.0114 3.0114 3.0114
```



Record 5
Tl3CoCl | GGA-PBEsol | optimized geometry

Total magnetic moment in μB/f.u.: 0.0
Total DFT energy (no corrections) in eV per atom: -3.6942
Volume in Å³/f.u.: 124.2
ρ in Mg/m³: 9.46
Energy relative to the lowest polymorph listed for this composition in meV/atom: 0
Formation energy without anion corrections in eV per atom: -0.17
DOS at the Fermi energy in states/eV/f.u.: 2.46

The structure in POSCAR format:
```
Tl3CoCl
1.0
4.9892 0.0000 0.0000
0.0000 4.9892 0.0000
0.0000 0.0000 4.9892
Tl Co Cl
3 1 1
Cartesian
0.0000 0.0000 2.4946
0.0000 2.4946 0.0000
2.4946 0.0000 0.0000
0.0000 0.0000 0.0000
2.4946 2.4946 2.4946
```



Record 6
Tl3CoCl | GGA-PBEsol | optimized geometry

Total magnetic moment in μB/f.u.: 2.0
Total DFT energy (no corrections) in eV per atom: -2.7394
Volume in Å³/f.u.: 176.4
ρ in Mg/m³: 6.66
Energy relative to the lowest polymorph listed for this composition in meV/atom: 955
Formation energy without anion corrections in eV per atom: 0.79
DOS at the Fermi energy in states/eV/f.u.: 3.73

The structure in POSCAR format:
```
Tl3CoCl
1.0
5.6080 0.0000 0.0000
0.0000 5.6080 0.0000
0.0000 0.0000 5.6080
Tl Co Cl
3 1 1
Cartesian
0.0000 0.0000 2.8040
0.0000 2.8040 0.0000
2.8040 0.0000 0.0000
2.8040 2.8040 2.8040
0.0000 0.0000 0.0000
```



Record 7
Tl2CoCl | GGA-PBEsol | optimized geometry

Total magnetic moment in μB/f.u.: 0.1
Total DFT energy (no corrections) in eV per atom: -3.6103
Volume in Å³/f.u.: 82.7
ρ in Mg/m³: 10.11
Energy relative to the lowest polymorph listed for this composition in meV/atom: 47
Formation energy without anion corrections in eV per atom: 0.14
DOS at the Fermi energy in states/eV/f.u.: 2.49

The structure in POSCAR format:
```
Tl2CoCl
1.0
1.7505 1.0107 7.7866
-1.7505 1.0107 7.7866
0.0000 -2.0213 7.7866
Tl Co Cl
2 1 1
Cartesian
0.0000 0.0000 5.5485
0.0000 0.0000 17.8114
0.0000 0.0000 11.6799
0.0000 0.0000 0.0000
```



Record 8
Tl2CoCl | GGA-PBEsol | optimized geometry

Total magnetic moment in μB/f.u.: 1.5
Total DFT energy (no corrections) in eV per atom: -3.6569
Volume in Å³/f.u.: 84.9
ρ in Mg/m³: 9.84
Energy relative to the lowest polymorph listed for this composition in meV/atom: 0
Formation energy without anion corrections in eV per atom: 0.09
DOS at the Fermi energy in states/eV/f.u.: 4.24

The structure in POSCAR format:
```
Tl2CoCl
1.0
-1.5524 2.6685 5.1222
1.5524 -2.6685 5.1222
1.5524 2.6685 -5.1222
Tl Co Cl
2 1 1
Cartesian
0.0000 0.0000 0.0000
0.0000 2.6685 2.0954
0.0000 0.0000 4.9391
1.5524 0.0000 3.2849
```



Q: Number 2 is which compound?
A: CoTe2Cl



Q: What is the volume in the third record?
A: 146.0 Å³/f.u.



Q: Which formula does entry 7 have?
A: Tl2CoCl



Q: ρ of number 7 (Tl2CoCl)?
A: 10.11 Mg/m³